(1)
# Hg2BiRh PBE relaxed
# Calculated formation energy, eV/atom: 0.07
# Crystal system: monoclinic
# Volume, Å³/cell: 96
# Magnetic moment, μB/atom: 0.000
data_Hg2BiRh
_cell_length_a 3.803
_cell_length_b 3.553
_cell_length_c 7.307
_cell_angle_alpha 90.00
_cell_angle_beta 104.66
_cell_angle_gamma 90.00
_symmetry_space_group_name_H-M 'P 1 m 1'
_symmetry_Int_Tables_number 6
_symmetry_space_group_name_Hall 'P -2y'
loop_
_atom_site_label
_atom_site_type_symbol
_atom_site_fract_x
_atom_site_fract_y
_atom_site_fract_z
Hg1 Hg 0.000 0.000 0.000
Hg2 Hg 0.375 0.500 0.754
Bi1 Bi 0.724 0.000 0.444
Rh1 Rh 0.156 0.500 0.305

---

(2)
# Hg2BiRh PBE relaxed
# Calculated formation energy, eV/atom: 0.27
# Crystal system: tetragonal
# Volume, Å³/cell: 398
# Magnetic moment, μB/atom: 0.000
data_Hg2BiRh
_cell_length_a 8.651
_cell_length_b 8.651
_cell_length_c 5.321
_cell_angle_alpha 90.00
_cell_angle_beta 90.00
_cell_angle_gamma 90.00
_symmetry_space_group_name_H-M 'I -4 2 d'
_symmetry_Int_Tables_number 122
_symmetry_space_group_name_Hall 'I -4 2bw'
loop_
_atom_site_label
_atom_site_type_symbol
_atom_site_fract_x
_atom_site_fract_y
_atom_site_fract_z
Hg1 Hg 0.186 0.250 0.125
Bi1 Bi 0.000 0.000 0.500
Rh1 Rh 0.000 0.000 0.000

---

(3)
# Hg2BiRh PBE relaxed
# Calculated formation energy, eV/atom: 0.07
# Crystal system: monoclinic
# Volume, Å³/cell: 188
# Magnetic moment, μB/atom: 0.000
data_Hg2BiRh
_cell_length_a 10.277
_cell_length_b 3.608
_cell_length_c 6.287
_cell_angle_alpha 90.00
_cell_angle_beta 126.20
_cell_angle_gamma 90.00
_symmetry_space_group_name_H-M 'C 1 m 1'
_symmetry_Int_Tables_number 8
_symmetry_space_group_name_Hall 'C -2y'
loop_
_atom_site_label
_atom_site_type_symbol
_atom_site_fract_x
_atom_site_fract_y
_atom_site_fract_z
Hg1 Hg 0.000 0.000 0.000
Hg2 Hg 0.208 0.000 0.795
Bi1 Bi 0.381 0.000 0.385
Rh1 Rh 0.207 0.500 0.451

---

(4)
# Hg2BiRh PBE relaxed
# Calculated formation energy, eV/atom: 0.07
# Crystal system: triclinic
# Volume, Å³/cell: 100
# Magnetic moment, μB/atom: 0.000
data_Hg2BiRh
_cell_length_a 3.342
_cell_length_b 5.327
_cell_length_c 6.492
_cell_angle_alpha 103.30
_cell_angle_beta 104.90
_cell_angle_gamma 108.28
_symmetry_space_group_name_H-M 'P 1'
_symmetry_Int_Tables_number 1
_symmetry_space_group_name_Hall 'P 1'
loop_
_atom_site_label
_atom_site_type_symbol
_atom_site_fract_x
_atom_site_fract_y
_atom_site_fract_z
Hg1 Hg 0.000 0.000 0.000
Hg2 Hg 0.000 0.365 0.630
Bi1 Bi 0.466 0.656 0.275
Rh1 Rh 0.265 0.908 0.621

---

(5)
# HgBi2Rh2 PBE relaxed
# Relative energy among the computed polymorphs, meV/atom: 201
# Calculated formation energy, eV/atom: 0.13
# Crystal system: tetragonal
# Volume, Å³/cell: 222
# Magnetic moment, μB/atom: 0.000
data_HgBi2Rh2
_cell_length_a 8.296
_cell_length_b 8.296
_cell_length_c 3.228
_cell_angle_alpha 90.00
_cell_angle_beta 90.00
_cell_angle_gamma 90.00
_symmetry_space_group_name_H-M 'P 4/m b m'
_symmetry_Int_Tables_number 127
_symmetry_space_group_name_Hall '-P 4 2ab'
loop_
_atom_site_label
_atom_site_type_symbol
_atom_site_fract_x
_atom_site_fract_y
_atom_site_fract_z
Hg1 Hg 0.000 0.000 0.000
Bi1 Bi 0.152 0.348 0.000
Rh1 Rh 0.131 0.631 0.500

---

(6)
# Hg2BiRh PBE relaxed
# Calculated formation energy, eV/atom: -0.01
# Crystal system: monoclinic
# Volume, Å³/cell: 97
# Magnetic moment, μB/atom: 0.000
data_Hg2BiRh
_cell_length_a 3.218
_cell_length_b 3.294
_cell_length_c 9.270
_cell_angle_alpha 90.00
_cell_angle_beta 99.41
_cell_angle_gamma 90.00
_symmetry_space_group_name_H-M 'P 1 m 1'
_symmetry_Int_Tables_number 6
_symmetry_space_group_name_Hall 'P -2y'
loop_
_atom_site_label
_atom_site_type_symbol
_atom_site_fract_x
_atom_site_fract_y
_atom_site_fract_z
Hg1 Hg 0.000 0.000 0.000
Hg2 Hg 0.127 0.500 0.297
Bi1 Bi 0.307 0.500 0.677
Rh1 Rh 0.722 0.000 0.495